A plane-wave DFT calculation with PBE with a Hubbard U was carried out for a geometry-optimized LiNbV2O8 structure.

Results
E_tot = -181.51 eV for the cell shown
Total magnetization = 0.000 μB/cell

```
data_LiNbV2O8
_space_group_name_H-M_alt 'I -4 m 2'
_space_group_IT_number 119
_space_group_name_Hall 'I -4 -2'
_cell_length_a 6.8371
_cell_length_b 6.8371
_cell_length_c 6.0477
_cell_angle_alpha 90.00
_cell_angle_beta 90.00
_cell_angle_gamma 90.00
loop_
_atom_site_label
_atom_site_fract_x
_atom_site_fract_y
_atom_site_fract_z
_atom_site_occupancy
Li1 0.0000 0.0000 0.0000 1
Nb1 0.0000 0.5000 0.7500 1
V1 0.0000 0.0000 0.5000 1
V2 0.0000 0.5000 0.2500 1
O1 0.0000 0.2075 0.6647 1
O2 0.0000 0.3142 0.0527 1
```